1.
BC2: relaxed, PBE-GGA.

Values from the calculation:
* E above lowest polymorph: 98 meV/atom

Lattice parameters (Å, degrees): 11.781 2.601 5.298 90.00 104.39 90.00
Space group Cm (No. 8)
Inequivalent atoms, fractional coordinates:
B1 0.000 0.000 0.000 x2
B2 0.069 0.500 0.589 x2
B3 0.238 0.000 0.925 x2
B4 0.377 0.500 0.301 x2
C1 0.075 0.500 0.096 x2
C2 0.144 0.500 0.890 x2
C3 0.151 0.500 0.382 x2
C4 0.230 0.000 0.427 x2
C5 0.309 0.000 0.225 x2
C6 0.314 0.000 0.710 x2
C7 0.392 0.500 0.745 x2
C8 0.479 0.500 0.554 x2



2.
Ho2Ga3Au: relaxed, PBE-GGA.

Lattice parameters (Å, degrees): 7.290 8.843 15.406 90.00 90.00 90.00
Space group Fmmm (No. 69)
Inequivalent atoms, fractional coordinates:
Ho1 0.243 0.000 0.000 x8
Ho2 0.250 0.250 0.250 x8
Ga1 0.000 0.000 0.337 x8
Ga2 0.000 0.247 0.418 x16
Au1 0.000 0.000 0.169 x8



3.
Tb2LuIn: relaxed, PBE-GGA.

Values from the calculation:
* E above lowest polymorph: 114 meV/atom

Lattice parameters (Å, degrees): 7.676 7.676 7.676 90.00 90.00 90.00
Space group Fm-3m (No. 225)
Inequivalent atoms, fractional coordinates:
Tb1 0.250 0.250 0.250 x8
Lu1 0.000 0.000 0.000 x4
In1 0.000 0.000 0.500 x4



4.
Ce2PmPr3P6: relaxed, PBE-GGA.

Lattice parameters (Å, degrees): 7.185 12.445 7.191 90.00 109.45 90.00
Space group C2/m (No. 12)
Inequivalent atoms, fractional coordinates:
Ce1 0.000 0.167 0.000 x4
Pm1 0.000 0.500 0.000 x2
Pr1 0.000 0.000 0.500 x2
Pr2 0.000 0.334 0.500 x4
P1 0.243 0.000 0.241 x4
P2 0.249 0.331 0.241 x8



5.
Pr7Dy2Mg2: relaxed, PBE-GGA.

Values from the calculation:
* E above lowest polymorph: 0 meV/atom

Lattice parameters (Å, degrees): 9.116 9.799 8.607 90.00 106.33 90.00
Space group C2/m (No. 12)
Inequivalent atoms, fractional coordinates:
Pr1 0.000 0.000 0.000 x2
Pr2 0.147 0.000 0.419 x4
Pr3 0.208 0.320 0.180 x8
Dy1 0.000 0.323 0.500 x4
Mg1 0.114 0.500 0.833 x4



6.
Ca2SmAl3Au12: relaxed, PBE-GGA.

Lattice parameters (Å, degrees): 8.9278 8.9278 18.2715 90.00 90.00 120.00
Space group R-3m (No. 166, hexagonal axes)
Inequivalent atoms, fractional coordinates:
Ca1 0.0000 0.0000 0.0945 x6
Sm1 0.0000 0.0000 0.5000 x3
Al1 0.0000 0.5000 0.0000 x9
Au1 0.0225 0.5112 0.3033 x18
Au2 0.0419 0.5210 0.8633 x18



Size of the total moment (computed, μB per formula unit): 0.00; 0.00; 0.51; 0.82; 0.00; 0.00
D(E_F) (computed, states/eV/cell): 1.520; 25.836; 25.517; 20.286; 31.009; 20.506
Formation enthalpy at 0 K (computed, eV/atom): 0.338; -0.711; -0.148; -1.529; 0.056; -0.277